1.
DFT (PBEsol) results for a relaxed structure of Ca2HoMn3O9.

As for the space-group type: P-1, No. 2. The calculation puts the final energy at -0.30085 Ha/atom. As for the raw formation energy: -2.470 eV/atom.

abc: 7.4988 9.0796 10.5303
angles: 73.02 88.99 66.25
Last column: nearest neighbours and their distance in Å.
Atoms (fractional coordinates):
O 0.5480 0.3122 0.4363  2 Mn 1.88-1.91
O 0.4746 0.6412 0.3195  2 Mn 1.90-1.92
O 0.5819 0.8356 0.7128  2 Mn 1.93
O 0.2066 0.9812 0.7696  2 Mn 1.90-1.92
O 0.1338 0.3017 0.6513  2 Mn 1.92-1.93
O 0.0797 0.8427 0.6191  2 Mn 1.94-1.95
O 0.6137 0.3593 0.1787  2 Mn 1.90-1.92
O 0.8662 0.6983 0.3487  2 Mn 1.92-1.93
O 0.2703 0.0327 0.5166  2 Mn 1.92-1.93
O 0.5538 0.8955 0.1461  2 Mn 1.95
O 0.5650 0.2973 0.9509  2 Mn 1.91-1.93
O 0.9040 0.6363 0.6147  2 Mn 1.89-1.91
O 0.3863 0.6407 0.8213  2 Mn 1.90-1.92
O 0.2531 0.4922 0.0427  2 Mn 1.92-1.93
O 0.0960 0.3637 0.3853  2 Mn 1.89-1.91
O 0.9348 0.7003 0.8483  2 Mn 1.93
O 0.8895 0.2207 0.8153  2 Mn 1.91-1.92
O 0.8011 0.9679 0.9819  2 Mn 1.92-1.93
O 0.1105 0.7793 0.1847  2 Mn 1.91-1.92
O 0.7469 0.5078 0.9573  2 Mn 1.92-1.93
O 0.4520 0.6878 0.5637  2 Mn 1.88-1.91
O 0.7680 0.0369 0.7124  2 Mn 1.91-1.92
O 0.1989 0.0321 0.0181  2 Mn 1.92-1.93
O 0.7794 0.4394 0.5165  2 Mn 1.93-1.94
O 0.4462 0.1045 0.8539  2 Mn 1.95
O 0.0652 0.2997 0.1517  2 Mn 1.93
O 0.2206 0.5606 0.4835  2 Mn 1.93-1.94
O 0.4181 0.1644 0.2872  2 Mn 1.93
O 0.9203 0.1573 0.3809  2 Mn 1.94-1.95
O 0.4350 0.7027 0.0491  2 Mn 1.91-1.93
O 0.5254 0.3588 0.6805  2 Mn 1.90-1.92
O 0.2320 0.9631 0.2876  2 Mn 1.91-1.92
O 0.7934 0.0188 0.2304  2 Mn 1.90-1.92
O 0.7297 0.9673 0.4834  2 Mn 1.92-1.93
O 0.8744 0.6485 0.1023  2 Mn 1.91
O 0.1256 0.3515 0.8977  2 Mn 1.91
Mn 0.8342 0.8344 0.1661  6 O 1.90-1.95
Mn 0.1676 0.1661 0.3346  6 O 1.89-1.94
Mn 0.5000 0.5000 0.0000  6 O 1.92-1.93
Mn 0.0000 0.5000 0.5000  6 O 1.91-1.93
Mn 0.0000 0.5000 0.0000  6 O 1.91-1.93
Mn 0.6666 0.1677 0.8313  6 O 1.90-1.95
Mn 0.1658 0.1656 0.8339  6 O 1.90-1.95
Mn 0.3360 0.8313 0.6679  6 O 1.88-1.95
Mn 0.6640 0.1687 0.3321  6 O 1.88-1.95
Mn 0.5000 0.5000 0.5000  6 O 1.91-1.94
Mn 0.8324 0.8339 0.6654  6 O 1.89-1.94
Mn 0.3334 0.8323 0.1687  6 O 1.90-1.95
Ho 0.0400 0.8467 0.4028  6 O 2.25-2.40
Ho 0.9600 0.1533 0.5972  6 O 2.25-2.40
Ho 0.6263 0.8172 0.9317  7 O 2.25-2.51
Ho 0.3737 0.1828 0.0683  7 O 2.25-2.51
Ca 0.8855 0.1895 0.0616  7 O 2.29-2.56
Ca 0.7134 0.5136 0.7358  7 O 2.30-2.58
Ca 0.2866 0.4864 0.2642  7 O 2.30-2.58
Ca 0.1145 0.8105 0.9384  7 O 2.29-2.56
Ca 0.4454 0.1494 0.6026  6 O 2.28-2.55
Ca 0.5546 0.8506 0.3974  6 O 2.28-2.55
Ca 0.2221 0.5218 0.7293  6 O 2.30-2.56
Ca 0.7779 0.4782 0.2707  6 O 2.30-2.56



2.
DFT (PBEsol) results for a relaxed structure of CaHoMo2O6.

As for the space-group type: Pmn2_1, No. 31. The calculation puts the final energy at -0.31933 Ha/atom. As for the raw formation energy: -2.478 eV/atom.

abc: 5.2958 5.7181 7.6123
angles: 90.00 90.00 90.00
Last column: nearest neighbours and their distance in Å.
Atoms (fractional coordinates):
O 0.6829 0.4475 0.4444  2 Mo 2.03-2.05
O 0.1829 0.5525 0.9444  2 Mo 2.03-2.05
O 0.1829 0.5525 0.5548  2 Mo 2.03-2.05
O 0.7975 0.9594 0.4496  2 Mo 2.01-2.03
O 0.8936 0.2070 0.7496  2 Mo 2.01
O 0.1386 0.2971 0.2496  2 Mo 2.05, 1 Ho 2.19
O 0.6829 0.4475 0.0548  2 Mo 2.03-2.05
O 0.2975 0.0406 0.5496  2 Mo 2.01-2.03
O 0.3936 0.7930 0.2496  2 Mo 2.01
O 0.6386 0.7029 0.7496  2 Mo 2.05, 1 Ho 2.19
O 0.7975 0.9594 0.0496  2 Mo 2.01-2.03
O 0.2975 0.0406 0.9496  2 Mo 2.01-2.03
Mo 0.4973 0.7482 0.5013  6 O 2.01-2.05
Mo 0.9973 0.2518 0.0013  6 O 2.01-2.05
Mo 0.9972 0.2517 0.4979  6 O 2.01-2.05
Mo 0.4972 0.7483 0.9979  6 O 2.01-2.05
Ca 0.4807 0.3171 0.7496  4 O 2.28-2.40
Ca 0.9807 0.6829 0.2496  4 O 2.28-2.40
Ho 0.0311 0.8245 0.7496  6 O 2.19-2.42
Ho 0.5311 0.1755 0.2496  6 O 2.19-2.42



3.
DFT (PBEsol) results for a relaxed structure of CaHoV2O6.

As for the space-group type: Pmn2_1, No. 31. The calculation puts the final energy at -0.31963 Ha/atom. As for the raw formation energy: -2.913 eV/atom.

abc: 5.2253 5.4617 7.4747
angles: 90.00 90.00 90.00
Last column: nearest neighbours and their distance in Å.
Atoms (fractional coordinates):
O 0.4190 0.7757 0.2500  2 V 1.91
O 0.7926 0.9613 0.4542  2 V 1.95-1.96
O 0.1934 0.5527 0.5507  2 V 1.95-1.96
O 0.6934 0.4473 0.0507  2 V 1.95-1.96
O 0.1058 0.2752 0.2500  2 V 1.96
O 0.9190 0.2243 0.7500  2 V 1.91
O 0.6058 0.7248 0.7500  2 V 1.96
O 0.6934 0.4473 0.4493  2 V 1.95-1.96
O 0.7926 0.9613 0.0458  2 V 1.95-1.96
O 0.1934 0.5527 0.9493  2 V 1.95-1.96
O 0.2926 0.0387 0.5458  2 V 1.95-1.96
O 0.2926 0.0387 0.9542  2 V 1.95-1.96
Ca 0.4872 0.3047 0.7500  6 O 2.30-2.53
Ca 0.9872 0.6953 0.2500  6 O 2.30-2.53
V 0.4987 0.7471 0.4991  6 O 1.91-1.96
V 0.4987 0.7471 0.0009  6 O 1.91-1.96
V 0.9987 0.2529 0.9991  6 O 1.91-1.96
V 0.9987 0.2529 0.5009  6 O 1.91-1.96
Ho 0.0187 0.8150 0.7500  6 O 2.21-2.42
Ho 0.5187 0.1850 0.2500  6 O 2.21-2.42